# SmThZnIn

SmThZnIn after structural relaxation (GGA-PBE, Alexandria).

Cell: 5.3329 5.3329 5.3329 Å, 60.00 60.00 60.00°
With the nearest neighbours (Å) after each atom.
Fractional coordinates of all 4 atoms:
Sm 0.0000 0.0000 0.0000  4 In 3.27, 4 Zn 3.27
Th 0.5000 0.5000 0.5000  4 In 3.27, 4 Zn 3.27
Zn 0.7500 0.7500 0.7500  4 Th 3.27, 4 Sm 3.27
In 0.2500 0.2500 0.2500  4 Th 3.27, 4 Sm 3.27

Theoretical density (g/cm³): 8.7
ΔH_f (0 K) (eV per atom): -0.277
Space-group type: F-43m, No. 216

---

# Sm2ThZn2In2

Sm2ThZn2In2 after structural relaxation (GGA-PBE, Alexandria).

Cell: 10.0034 10.0034 10.0034 Å, 27.24 27.24 27.24°
With the nearest neighbours (Å) after each atom.
Fractional coordinates of all 7 atoms:
Sm 0.1279 0.1279 0.1279  3 In 3.16, 3 Zn 3.35, 3 Sm 3.52
Sm 0.8721 0.8721 0.8721  3 In 3.16, 3 Zn 3.35, 3 Sm 3.52
Th 0.0000 0.0000 0.0000  6 Zn 3.23, 6 In 3.42
Zn 0.3935 0.3935 0.3935  3 In 2.74
Zn 0.6065 0.6065 0.6065  3 In 2.74
In 0.2614 0.2614 0.2614  3 Zn 2.74
In 0.7386 0.7386 0.7386  3 Zn 2.74

Theoretical density (g/cm³): 8.0
ΔH_f (0 K) (eV per atom): -0.228
Space-group type: R-3m, No. 166

---

# Sm2TiIn

Sm2TiIn after structural relaxation (GGA-PBE, Alexandria).

Cell: 5.3452 5.3452 5.3452 Å, 60.00 60.00 60.00°
With the nearest neighbours (Å) after each atom.
Fractional coordinates of all 4 atoms:
Sm 0.2500 0.2500 0.2500  4 In 3.27, 4 Ti 3.27
Sm 0.7500 0.7500 0.7500  4 In 3.27, 4 Ti 3.27
Ti 0.0000 0.0000 0.0000  8 Sm 3.27
In 0.5000 0.5000 0.5000  8 Sm 3.27

Theoretical density (g/cm³): 7.1
ΔH_f (0 K) (eV per atom): -0.069
Space-group type: Fm-3m, No. 225
Polymorph energy (0 for the lowest one) (eV per atom): 0.010

---

# SmTiIn

SmTiIn after structural relaxation (GGA-PBE, Alexandria).

Cell: 13.1594 13.1594 13.1594 Å, 165.15 165.15 21.06°
With the nearest neighbours (Å) after each atom.
Fractional coordinates of all 6 atoms:
Sm 0.0702 0.0702 0.0000  4 In 3.25, 5 Sm 3.40-3.64
Sm 0.9298 0.9298 0.0000  4 In 3.25, 5 Sm 3.40-3.64
Ti 0.2216 0.2216 0.0000  4 Ti 2.82, 4 In 2.96
Ti 0.7784 0.7784 0.0000  4 Ti 2.82, 4 In 2.96
In 0.3451 0.3451 0.0000  5 Ti 2.96-3.20, 4 Sm 3.25
In 0.6549 0.6549 0.0000  5 Ti 2.96-3.20, 4 Sm 3.25

Theoretical density (g/cm³): 6.9
ΔH_f (0 K) (eV per atom): -0.103
Space-group type: I4/mmm, No. 139

---

# Sm2TiIn

Sm2TiIn after structural relaxation (GGA-PBE, Alexandria).

Cell: 4.7898 4.7898 4.5878 Å, 90.00 90.00 90.00°
With the nearest neighbours (Å) after each atom.
Fractional coordinates of all 4 atoms:
Sm 0.0000 0.5000 0.0000  4 In 3.32, 4 Ti 3.32, 4 Sm 3.39
Sm 0.5000 0.0000 0.0000  4 In 3.32, 4 Ti 3.32, 4 Sm 3.39
Ti 0.0000 0.0000 0.5000  8 Sm 3.32, 4 In 3.39
In 0.5000 0.5000 0.5000  8 Sm 3.32, 4 Ti 3.39

Theoretical density (g/cm³): 7.3
ΔH_f (0 K) (eV per atom): -0.079
Space-group type: P4/mmm, No. 123
Polymorph energy (0 for the lowest one) (eV per atom): 0.000

---

# SmTmTiIn

SmTmTiIn after structural relaxation (GGA-PBE, Alexandria).

Cell: 5.2709 5.2709 5.2709 Å, 60.00 60.00 60.00°
With the nearest neighbours (Å) after each atom.
Fractional coordinates of all 4 atoms:
Sm 0.0000 0.0000 0.0000  4 Ti 3.23, 4 In 3.23
Tm 0.5000 0.5000 0.5000  4 Ti 3.23, 4 In 3.23
Ti 0.7500 0.7500 0.7500  4 Sm 3.23, 4 Tm 3.23
In 0.2500 0.2500 0.2500  4 Tm 3.23, 4 Sm 3.23

Theoretical density (g/cm³): 7.7
ΔH_f (0 K) (eV per atom): -0.075
Space-group type: F-43m, No. 216

---

# Sm2Tl4In

Sm2Tl4In after structural relaxation (GGA-PBE, Alexandria).

Cell: 6.1421 6.1421 6.6139 Å, 100.09 100.09 116.67°
With the nearest neighbours (Å) after each atom.
Fractional coordinates of all 7 atoms:
Sm 0.1416 0.1416 0.2916  6 Tl 3.25-3.46, 1 In 3.47
Sm 0.8584 0.8584 0.7084  6 Tl 3.25-3.46, 1 In 3.47
Tl 0.0000 0.5000 0.0000  2 In 3.07, 4 Tl 3.17-3.22
Tl 0.2773 0.7227 0.5000  4 Tl 3.17-3.27, 4 Sm 3.25-3.46
Tl 0.5000 0.0000 0.0000  2 In 3.07, 4 Tl 3.17-3.22
Tl 0.7227 0.2773 0.5000  4 Tl 3.17-3.27, 4 Sm 3.25-3.46
In 0.5000 0.5000 0.0000  4 Tl 3.07

Theoretical density (g/cm³): 9.7
ΔH_f (0 K) (eV per atom): -0.068
Space-group type: C2/m, No. 12

---

# SmTlIn6

SmTlIn6 after structural relaxation (GGA-PBE, Alexandria).

Cell: 6.7963 6.7963 4.6748 Å, 90.00 90.00 90.00°
With the nearest neighbours (Å) after each atom.
Fractional coordinates of all 8 atoms:
Sm 0.0000 0.0000 0.0000  12 In 3.35-3.40
Tl 0.5000 0.5000 0.0000  12 In 3.36-3.40
In 0.0000 0.5000 0.0000  8 In 3.35, 2 Tl 3.40, 2 Sm 3.40
In 0.2491 0.2491 0.5000  2 Sm 3.35, 8 In 3.35-3.41, 2 Tl 3.36
In 0.2491 0.7509 0.5000  2 Sm 3.35, 8 In 3.35-3.41, 2 Tl 3.36
In 0.5000 0.0000 0.0000  8 In 3.35, 2 Tl 3.40, 2 Sm 3.40
In 0.7509 0.2491 0.5000  2 Sm 3.35, 8 In 3.35-3.41, 2 Tl 3.36
In 0.7509 0.7509 0.5000  2 Sm 3.35, 8 In 3.35-3.41, 2 Tl 3.36

Theoretical density (g/cm³): 8.0
ΔH_f (0 K) (eV per atom): -0.162
Space-group type: P4/mmm, No. 123

---

# Sm12Tl6In

Sm12Tl6In after structural relaxation (GGA-PBE, Alexandria).

Cell: 9.0703 9.0703 9.0703 Å, 107.72 107.72 107.72°
With the nearest neighbours (Å) after each atom.
Fractional coordinates of all 19 atoms:
Sm 0.0257 0.8808 0.3339  3 Tl 3.15-3.32, 2 Sm 3.39-3.43, 1 In 3.48
Sm 0.0790 0.3222 0.4074  3 Tl 3.16-3.31, 1 Sm 3.43
Sm 0.1192 0.6661 0.9743  3 Tl 3.15-3.32, 2 Sm 3.39-3.43, 1 In 3.48
Sm 0.3222 0.4074 0.0790  3 Tl 3.16-3.31, 1 Sm 3.43
Sm 0.3339 0.0257 0.8808  3 Tl 3.15-3.32, 2 Sm 3.39-3.43, 1 In 3.48
Sm 0.4074 0.0790 0.3222  3 Tl 3.16-3.31, 1 Sm 3.43
Sm 0.5926 0.9210 0.6778  3 Tl 3.16-3.31, 1 Sm 3.43
Sm 0.6661 0.9743 0.1192  3 Tl 3.15-3.32, 2 Sm 3.39-3.43, 1 In 3.48
Sm 0.6778 0.5926 0.9210  3 Tl 3.16-3.31, 1 Sm 3.43
Sm 0.8808 0.3339 0.0257  3 Tl 3.15-3.32, 2 Sm 3.39-3.43, 1 In 3.48
Sm 0.9210 0.6778 0.5926  3 Tl 3.16-3.31, 1 Sm 3.43
Sm 0.9743 0.1192 0.6661  3 Tl 3.15-3.32, 2 Sm 3.39-3.43, 1 In 3.48
Tl 0.2365 0.6628 0.3534  6 Sm 3.15-3.32
Tl 0.3372 0.6466 0.7635  6 Sm 3.15-3.32
Tl 0.3534 0.2365 0.6628  6 Sm 3.15-3.32
Tl 0.6466 0.7635 0.3372  6 Sm 3.15-3.32
Tl 0.6628 0.3534 0.2365  6 Sm 3.15-3.32
Tl 0.7635 0.3372 0.6466  6 Sm 3.15-3.32
In 0.0000 0.0000 0.0000  12 Sm 3.48-3.64

Theoretical density (g/cm³): 8.6
ΔH_f (0 K) (eV per atom): -0.103
Space-group type: R-3, No. 148

---

# Sm6TlIn3

Sm6TlIn3 after structural relaxation (GGA-PBE, Alexandria).

Cell: 9.7273 5.3516 11.7280 Å, 90.00 105.89 90.00°
With the nearest neighbours (Å) after each atom.
Fractional coordinates of all 20 atoms:
Sm 0.0457 0.2500 0.4114  6 In 3.24-3.43, 1 Sm 3.54
Sm 0.1579 0.7500 0.1804  1 Tl 3.21, 5 In 3.22-3.34
Sm 0.2532 0.2500 0.9960  4 In 3.24-3.46, 3 Tl 3.34-3.40
Sm 0.3325 0.7500 0.8020  4 In 3.34-3.73, 3 Tl 3.39-3.43, 5 Sm 3.61-3.73
Sm 0.3758 0.2500 0.3394  4 Sm 3.21-3.54, 3 In 3.39-3.50
Sm 0.4022 0.2500 0.6184  1 Tl 3.16, 3 Sm 3.21-3.39, 3 In 3.23
Sm 0.5978 0.7500 0.3816  1 Tl 3.16, 3 Sm 3.21-3.39, 3 In 3.23
Sm 0.6242 0.7500 0.6606  4 Sm 3.21-3.54, 3 In 3.39-3.50
Sm 0.6675 0.2500 0.1980  4 In 3.34-3.73, 3 Tl 3.39-3.43, 5 Sm 3.61-3.73
Sm 0.7468 0.7500 0.0040  4 In 3.24-3.46, 3 Tl 3.34-3.40
Sm 0.8421 0.2500 0.8196  1 Tl 3.21, 5 In 3.22-3.34
Sm 0.9543 0.7500 0.5886  6 In 3.24-3.43, 1 Sm 3.54
Tl 0.4513 0.7500 0.1054  8 Sm 3.16-3.43
Tl 0.5487 0.2500 0.8946  8 Sm 3.16-3.43
In 0.0307 0.7500 0.8852  8 Sm 3.22-3.46
In 0.1186 0.2500 0.7109  8 Sm 3.23-3.39, 2 In 3.61
In 0.2751 0.7500 0.4742  9 Sm 3.23-3.59
In 0.7249 0.2500 0.5258  9 Sm 3.23-3.59
In 0.8814 0.7500 0.2891  8 Sm 3.23-3.39, 2 In 3.61
In 0.9693 0.2500 0.1148  8 Sm 3.22-3.46

Theoretical density (g/cm³): 8.2
ΔH_f (0 K) (eV per atom): -0.357
Space-group type: P2_1/m, No. 11
Polymorph energy (0 for the lowest one) (eV per atom): 0.000